## Be4CoSn (PBE)

Data for a geometry-optimized Be4CoSn structure.

a = 4.4277 Å, b = 4.4277 Å, c = 4.4277 Å
α = 60.00°, β = 60.00°, γ = 60.00°
Positions (direct):
Be (0.6279, 0.6279, 0.1162)
Be (0.6279, 0.1162, 0.6279)
Be (0.6279, 0.6279, 0.6279)
Be (0.1162, 0.6279, 0.6279)
Co (0.0000, 0.0000, 0.0000)
Sn (0.2500, 0.2500, 0.2500)

Computed properties:
The total magnetization comes out at 0.03 μB per formula unit. The formation energy comes out at 2.0 kJ/mol of atoms. As for the crystal system: cubic.